A relaxed YAgAu crystal. Source: the Alexandria database, functional PBE-GGA. Values from VASP.

```
&SYSTEM
  ibrav = 0, nat = 3, ntyp = 3
/
ATOMIC_SPECIES
Au 196.97 Au.upf
Ag 107.87 Ag.upf
Y 88.91 Y.upf
CELL_PARAMETERS angstrom
3.751 0.000 0.000
0.000 3.751 0.000
-1.875 -1.875 4.580
ATOMIC_POSITIONS angstrom
Au 1.875 1.875 1.050
Ag 0.000 0.000 2.576
Y 1.875 1.875 4.160
```

## Properties
**Energy of formation**: -178 kJ/mol of formula units
**Total moment**: 0.00 μB/atom
**Total DFT energy (no corrections)**: -4.811 eV per atom